[1]
DFT (GGA-PBE) results for a relaxed PrPu2PaBi5 crystal.

It has space group P4/mmm (No. 123), with a = 5.6656 Å, b = 5.6656 Å, c = 12.0095 Å, α = 90.00°, β = 90.00° and γ = 90.00°. Symmetry generates all atoms from Pr at (0.0000, 0.0000, 0.0000), Pu at (0.5000, 0.5000, 0.2837), Pa at (0.0000, 0.0000, 0.5000), Bi at (0.0000, 0.0000, 0.2515), Bi at (0.0000, 0.5000, 0.5000) and Bi at (0.5000, 0.5000, 0.0000).

For the total energy, the calculation gives -0.4936 Ry per atom. As for the total moment: 10.86 μB per formula unit. The calculation puts the formation energy from the elements at 1.91 eV/f.u.

[2]
DFT (GGA-PBE) results for a relaxed LiPr2Zn3Pd4 crystal.

It has space group P-4m2 (No. 115), with a = 4.1783 Å, b = 4.1783 Å, c = 11.0442 Å, α = 90.00°, β = 90.00° and γ = 90.00°. Symmetry generates all atoms from Li at (0.0000, 0.0000, 0.0000), Pr at (0.0000, 0.5000, 0.7432), Zn at (0.0000, 0.5000, 0.3680), Zn at (0.5000, 0.5000, 0.0000), Pd at (0.0000, 0.0000, 0.5000), Pd at (0.0000, 0.5000, 0.1394) and Pd at (0.5000, 0.5000, 0.5000).

For the total energy, the calculation gives -0.3098 Ry per atom. As for the total moment: 0.00 μB per formula unit. The calculation puts the formation energy from the elements at -6.08 eV/f.u.

[3]
DFT (GGA-PBE) results for a relaxed Ba2PuMnSe5 crystal.

It has space group Cmc2_1 (No. 36), with a = 4.3555 Å, b = 18.6616 Å, c = 13.3842 Å, α = 90.00°, β = 90.00° and γ = 90.00°. Symmetry generates all atoms from Ba at (0.0000, 0.1186, 0.0000), Ba at (0.0000, 0.1226, 0.6399), Pu at (0.0000, 0.1991, 0.3345), Mn at (0.0000, 0.4401, 0.7409), Se at (0.0000, 0.0448, 0.3329), Se at (0.0000, 0.2993, 0.9747), Se at (0.0000, 0.3107, 0.6886), Se at (0.0000, 0.3489, 0.3210) and Se at (0.0000, 0.5002, 0.0807).

For the total energy, the calculation gives -0.4732 Ry per atom. As for the total moment: 9.00 μB per formula unit. As for the raw formation energy: -1.4635 eV/atom.

[4]
DFT (GGA-PBE) results for a relaxed CdSiRh2 crystal.

It has space group I-42d (No. 122), with a = 6.8733 Å, b = 6.8733 Å, c = 5.6331 Å, α = 90.00°, β = 90.00° and γ = 90.00°. Symmetry generates all atoms from Cd at (0.0000, 0.0000, 0.0000), Si at (0.0000, 0.0000, 0.5000) and Rh at (0.1896, 0.7500, 0.6250).

For the total energy, the calculation gives -0.4045 Ry per atom. As for the total moment: 0.00 μB per formula unit. As for the raw formation energy: -0.2435 eV/atom.

What is the total moment in the second record?
0.00 μB per formula unit

Which formula does entry 2 have?
LiPr2Zn3Pd4